(1)
TlGaCo: optimized geometry, GGA-PBE.

For the density of states at the Fermi level, the calculation gives 0.448 states/eV/atom. The value obtained for the formation energy is 0.014 eV/atom. The distance to the lowest polymorph of the same formula comes out at 0.0000 eV/atom. As for the space-group type: Pmma (51).

Cell lengths 4.009, 2.929, 9.323 Å; angles 90.00, 90.00, 90.00 degrees
Element x y z (fractional)
Tl: 0.250 0.000 0.630
Tl: 0.750 0.000 0.370
Co: 0.250 0.500 0.888
Co: 0.750 0.500 0.112
Ga: 0.250 0.000 0.109
Ga: 0.750 0.000 0.891

---

(2)
Ce2LuBe: optimized geometry, GGA-PBE.

For the density of states at the Fermi level, the calculation gives 2.422 states/eV/atom. The value obtained for the formation energy is 0.697 eV/atom. As for the space-group type: R-3m (166).

Cell lengths 3.145, 3.145, 11.814 Å; angles 82.35, 82.35, 60.00 degrees
Element x y z (fractional)
Be: 0.000 0.000 0.000
Lu: 0.500 0.500 0.500
Ce: 0.083 0.083 0.751
Ce: 0.917 0.917 0.249

---

(3)
MoHIr2Pb: optimized geometry, GGA-PBE.

For the density of states at the Fermi level, the calculation gives 0.792 states/eV/atom. As for the total energy: -6.57 eV/atom. As for the space-group type: P4/mmm (123).

Cell lengths 3.959, 4.539, 3.959 Å; angles 90.00, 90.00, 90.00 degrees
Element x y z (fractional)
Pb: 0.000 0.500 0.000
H: 0.000 0.000 0.000
Mo: 0.500 0.500 0.500
Ir: 0.000 0.000 0.500
Ir: 0.500 0.000 0.000

---

(4)
Ba2LaRh: optimized geometry, GGA-PBE.

For the density of states at the Fermi level, the calculation gives 0.858 states/eV/atom. The value obtained for the formation energy is -0.334 eV/atom. The distance to the lowest polymorph of the same formula comes out at 0.0000 eV/atom. As for the space-group type: Pmn2_1 (31).

Cell lengths 4.184, 4.184, 19.607 Å; angles 90.00, 90.01, 90.00 degrees
Element x y z (fractional)
Ba: 0.751 0.836 0.733
Ba: 0.249 0.336 0.267
Ba: 0.750 0.838 0.088
Ba: 0.250 0.338 0.912
La: 0.250 0.336 0.569
La: 0.750 0.836 0.431
Rh: 0.250 0.336 0.420
Rh: 0.750 0.836 0.580

---

(5)
Sr2TcAg: optimized geometry, GGA-PBE.

For the density of states at the Fermi level, the calculation gives 0.901 states/eV/atom. The value obtained for the formation energy is 0.448 eV/atom. The distance to the lowest polymorph of the same formula comes out at 0.0000 eV/atom. As for the space-group type: Amm2 (38).

Cell lengths 4.624, 4.544, 6.226 Å; angles 68.57, 90.00, 90.00 degrees
Element x y z (fractional)
Ag: 0.500 0.565 0.745
Sr: 0.000 0.980 0.915
Sr: 0.500 0.269 0.337
Tc: 0.000 0.686 0.503

---

(6)
Li2Ca2TbSn2: optimized geometry, GGA-PBE.

For the density of states at the Fermi level, the calculation gives 0.405 states/eV/atom. The value obtained for the formation energy is -0.500 eV/atom. As for the space-group type: R-3m (166).

Cell lengths 4.840, 4.840, 9.568 Å; angles 75.35, 75.35, 60.00 degrees
Element x y z (fractional)
Li: 0.605 0.605 0.186
Li: 0.395 0.395 0.814
Ca: 0.128 0.128 0.617
Ca: 0.872 0.872 0.383
Tb: 0.000 0.000 0.000
Sn: 0.734 0.734 0.797
Sn: 0.266 0.266 0.203

---

(7)
TlRh2: optimized geometry, GGA-PBE.

For the density of states at the Fermi level, the calculation gives 1.313 states/eV/atom. The value obtained for the formation energy is 0.241 eV/atom. The distance to the lowest polymorph of the same formula comes out at 0.0647 eV/atom. As for the space-group type: Immm (71).

Cell lengths 4.950, 4.950, 4.950 Å; angles 144.59, 133.28, 59.96 degrees
Element x y z (fractional)
Tl: 0.000 0.000 0.000
Rh: 0.670 0.670 0.000
Rh: 0.330 0.330 0.000

---

(8)
PmSm2Lu: optimized geometry, GGA-PBE.

For the density of states at the Fermi level, the calculation gives 1.421 states/eV/atom. The value obtained for the formation energy is 0.024 eV/atom. The distance to the lowest polymorph of the same formula comes out at 0.0065 eV/atom. As for the space-group type: P4/mmm (123).

Cell lengths 3.590, 3.590, 10.167 Å; angles 90.00, 90.00, 90.00 degrees
Element x y z (fractional)
Lu: 0.500 0.500 0.000
Sm: 0.000 0.000 0.756
Sm: 0.000 0.000 0.244
Pm: 0.500 0.500 0.500

---

(9)
CsTl2CoPb: optimized geometry, GGA-PBE.

For the density of states at the Fermi level, the calculation gives 0.822 states/eV/atom. The value obtained for the formation energy is 0.157 eV/atom. As for the space-group type: P4/mmm (123).

Cell lengths 5.376, 5.376, 5.284 Å; angles 90.00, 90.00, 90.00 degrees
Element x y z (fractional)
Pb: 0.000 0.000 0.500
Cs: 0.500 0.500 0.500
Tl: 0.000 0.500 0.000
Tl: 0.500 0.000 0.000
Co: 0.000 0.000 0.000

---

(10)
FeIr3N: optimized geometry, GGA-PBE.

The raw formation energy is 2666 meV per atom. For the density of states at the Fermi level, the calculation gives 1.676 states/eV/atom. The distance to the lowest polymorph of the same formula comes out at 1.8048 eV/atom. As for the space-group type: Pm-3m (221).

Cell lengths 4.449, 4.449, 4.449 Å; angles 90.00, 90.00, 90.00 degrees
Element x y z (fractional)
Ir: 0.000 0.500 0.000
Ir: 0.000 0.000 0.500
Ir: 0.500 0.000 0.000
Fe: 0.000 0.000 0.000
N: 0.500 0.500 0.500

---

(11)
CeScAlIn: optimized geometry, GGA-PBE.

For the density of states at the Fermi level, the calculation gives 1.320 states/eV/atom. The value obtained for the formation energy is -0.388 eV/atom. The distance to the lowest polymorph of the same formula comes out at 0.0000 eV/atom. As for the space-group type: P4mm (99).

Cell lengths 3.210, 3.210, 8.872 Å; angles 90.00, 90.00, 90.00 degrees
Element x y z (fractional)
Ce: 0.000 0.000 0.087
Sc: 0.000 0.000 0.554
Al: 0.500 0.500 0.339
In: 0.500 0.500 0.804

---

(12)
Cd2InHgTe4: optimized geometry, GGA-PBE.

The raw formation energy is -293 meV per atom. For the density of states at the Fermi level, the calculation gives 0.343 states/eV/atom. As for the space-group type: Fmm2 (42).

Cell lengths 6.749, 6.749, 8.207 Å; angles 114.23, 114.23, 90.11 degrees
Element x y z (fractional)
Cd: 0.750 0.250 0.500
Cd: 0.250 0.750 0.500
In: 0.500 0.500 0.000
Hg: 0.000 0.000 0.001
Te: 0.625 0.625 0.744
Te: 0.374 0.881 0.255
Te: 0.881 0.374 0.255
Te: 0.119 0.119 0.744

---

(13)
NaZnGa2Au: optimized geometry, GGA-PBE.

For the density of states at the Fermi level, the calculation gives 0.275 states/eV/atom. The value obtained for the formation energy is 0.106 eV/atom. As for the space-group type: P4/mmm (123).

Cell lengths 4.904, 5.588, 4.904 Å; angles 90.00, 90.00, 90.00 degrees
Element x y z (fractional)
Na: 0.000 0.500 0.000
Zn: 0.500 0.500 0.500
Au: 0.000 0.000 0.000
Ga: 0.000 0.000 0.500
Ga: 0.500 0.000 0.000